PBE Ta4AlPbC2, relaxed; DFT total energy = -9.48 eV/atom; density = 13.16 g/cm³; SG = P-6m2, No. 187
1.0
-0.864 -2.496 1.775
2.591 1.679 0.770
-7.901 8.483 8.082
Al C Pb Ta
1 2 1 4
direct
0.667 0.333 0.000
0.333 0.667 0.241
0.333 0.667 0.759
0.000 0.000 0.500
0.000 0.000 0.155
0.667 0.333 0.325
0.667 0.333 0.675
0.000 0.000 0.845


PBE AlPbW4C2, relaxed; DFT total energy = -9.42 eV/atom; density = 14.08 g/cm³; SG = P-6m2, No. 187
1.0
-1.974 2.235 -0.957
-0.019 -2.806 -1.391
-9.408 -4.429 9.064
Al C Pb W
1 2 1 4
direct
0.000 0.000 0.000
0.667 0.333 0.239
0.667 0.333 0.761
0.333 0.667 0.500
0.333 0.667 0.154
0.000 0.000 0.319
0.000 0.000 0.681
0.333 0.667 0.846


PBE Zr4AlPbC2, relaxed; DFT total energy = -8.17 eV/atom; density = 7.13 g/cm³; SG = P-6m2, No. 187
1.0
-3.331 0.529 -0.067
1.278 -2.867 -1.237
-1.267 -6.285 13.256
Al C Pb Zr
1 2 1 4
direct
0.000 0.000 0.000
0.333 0.667 0.245
0.333 0.667 0.755
0.667 0.333 0.500
0.667 0.333 0.159
0.000 0.000 0.328
0.000 0.000 0.672
0.667 0.333 0.841


PBE Al3PdC, relaxed; DFT total energy = -5.16 eV/atom; density = 5.07 g/cm³; SG = Pm-3m, No. 221
1.0
-2.500 -2.028 2.417
-0.909 -2.490 -3.030
3.021 -2.428 1.088
Al C Pd
3 1 1
direct
0.500 0.500 0.000
0.500 0.000 0.500
0.000 0.500 0.500
0.500 0.500 0.500
0.000 0.000 0.000


PBE Zr2Al2Pd3C, relaxed; DFT total energy = -6.55 eV/atom; density = 6.97 g/cm³; SG = P3m1, No. 156
1.0
-0.394 0.313 -4.017
-3.129 -1.238 2.250
-2.865 9.030 0.985
Al C Pd Zr
2 1 3 2
direct
0.333 0.667 0.493
0.333 0.667 0.997
0.000 0.000 0.181
0.000 0.000 0.407
0.667 0.333 0.584
0.667 0.333 0.889
0.667 0.333 0.207
0.000 0.000 0.742


PBE Zr2Al2PdC3, relaxed; DFT total energy = -7.39 eV/atom; density = 6.01 g/cm³; SG = P3m1, No. 156
1.0
3.242 0.000 0.000
-1.621 2.807 0.000
0.000 0.000 11.510
Al C Pd Zr
2 3 1 2
direct
0.000 0.000 0.059
0.000 0.000 0.479
0.667 0.333 0.133
0.667 0.333 0.386
0.333 0.667 0.596
0.333 0.667 0.890
0.333 0.667 0.266
0.667 0.333 0.692


PBE PrAl3C3, relaxed; DFT total energy = -6.38 eV/atom; density = 4.58 g/cm³; SG = P6_3/mmc, No. 194
1.0
-1.273 -0.144 -3.242
2.897 -1.759 0.815
-9.832 -14.115 4.488
Al C Pr
6 6 2
direct
0.333 0.667 0.137
0.667 0.333 0.250
0.333 0.667 0.363
0.667 0.333 0.637
0.333 0.667 0.750
0.667 0.333 0.863
0.667 0.333 0.100
0.333 0.667 0.250
0.667 0.333 0.400
0.333 0.667 0.600
0.667 0.333 0.750
0.333 0.667 0.900
0.000 0.000 0.000
0.000 0.000 0.500


PBE Al6ReC, relaxed; DFT total energy = -5.32 eV/atom; density = 4.85 g/cm³; SG = F-43m, No. 216
1.0
5.134 -0.268 2.187
1.040 2.313 4.978
0.979 -3.247 4.439
Al C Re
6 1 1
direct
0.744 0.256 0.256
0.256 0.744 0.256
0.744 0.744 0.256
0.256 0.256 0.744
0.744 0.256 0.744
0.256 0.744 0.744
0.000 0.000 0.000
0.250 0.250 0.250


PBE Ta4AlC2S, relaxed; DFT total energy = -9.81 eV/atom; density = 11.88 g/cm³; SG = P-6m2, No. 187
1.0
3.182 0.000 0.000
-1.591 2.756 0.000
0.000 0.000 12.866
Al C S Ta
1 2 1 4
direct
0.000 0.000 0.000
0.333 0.667 0.264
0.333 0.667 0.736
0.667 0.333 0.500
0.667 0.333 0.172
0.000 0.000 0.358
0.000 0.000 0.642
0.667 0.333 0.828


PBE Ta4AlC2S, relaxed; DFT total energy = -9.81 eV/atom; density = 11.88 g/cm³; SG = P-6m2, No. 187
1.0
3.182 0.000 0.000
-1.591 2.756 0.000
0.000 0.000 12.866
Al C S Ta
1 2 1 4
direct
0.667 0.333 0.500
0.333 0.667 0.236
0.333 0.667 0.764
0.000 0.000 0.000
0.667 0.333 0.142
0.000 0.000 0.328
0.000 0.000 0.672
0.667 0.333 0.858


PBE Zr4AlC2S, relaxed; DFT total energy = -8.56 eV/atom; density = 5.62 g/cm³; SG = P-6m2, No. 187
1.0
-0.607 -3.144 -1.080
0.825 0.547 3.231
-12.948 1.447 3.061
Al C S Zr
1 2 1 4
direct
0.000 0.000 0.000
0.667 0.333 0.268
0.667 0.333 0.732
0.333 0.667 0.500
0.333 0.667 0.175
0.000 0.000 0.363
0.000 0.000 0.637
0.333 0.667 0.825


PBE Ta4AlSbC2, relaxed; DFT total energy = -9.59 eV/atom; density = 12.22 g/cm³; SG = P-6m2, No. 187
1.0
3.232 0.000 0.000
-1.616 2.799 0.000
0.000 0.000 13.469
Al C Sb Ta
1 2 1 4
direct
0.333 0.667 0.500
0.000 0.000 0.251
0.000 0.000 0.749
0.667 0.333 0.000
0.333 0.667 0.165
0.667 0.333 0.339
0.667 0.333 0.661
0.333 0.667 0.835


PBE Sc2Ta4Al3C3, relaxed; DFT total energy = -8.84 eV/atom; density = 8.40 g/cm³; SG = C2/c, No. 15
1.0
-0.096 5.460 -0.714
-4.137 2.981 2.081
8.647 -1.204 11.431
Al C Sc Ta
6 6 4 8
direct
0.415 0.120 0.249
0.950 0.050 0.250
0.880 0.585 0.251
0.120 0.415 0.749
0.050 0.950 0.750
0.585 0.880 0.751
0.669 0.162 0.000
0.000 0.500 0.000
0.331 0.838 0.000
0.162 0.669 0.500
0.500 0.000 0.500
0.838 0.331 0.500
0.375 0.535 0.102
0.465 0.625 0.398
0.535 0.375 0.602
0.625 0.465 0.898
0.694 0.853 0.082
0.019 0.204 0.082
0.796 0.981 0.418
0.147 0.306 0.418
0.853 0.694 0.582
0.204 0.019 0.582
0.981 0.796 0.918
0.306 0.147 0.918


PBE Sc2Al3W4C3, relaxed; DFT total energy = -8.96 eV/atom; density = 9.11 g/cm³; SG = C2/c, No. 15
1.0
5.393 0.000 0.000
-2.688 4.676 0.000
-2.573 -1.632 13.619
Al C Sc W
6 6 4 8
direct
0.836 0.103 0.249
0.321 0.071 0.250
0.354 0.587 0.251
0.646 0.413 0.749
0.679 0.929 0.750
0.164 0.897 0.751
0.333 0.166 0.000
0.000 0.500 0.000
0.667 0.834 0.000
0.665 0.333 0.500
0.000 0.000 0.500
0.335 0.667 0.500
0.733 0.539 0.111
0.929 0.623 0.389
0.071 0.377 0.611
0.267 0.461 0.889
0.386 0.850 0.080
0.064 0.205 0.080
0.625 0.984 0.420
0.271 0.306 0.420
0.729 0.694 0.580
0.375 0.016 0.580
0.936 0.795 0.920
0.614 0.150 0.920


PBE Sc4Al3W2C3, relaxed; DFT total energy = -7.99 eV/atom; density = 5.91 g/cm³; SG = C2/c, No. 15
1.0
-4.306 3.518 -0.371
-1.542 1.950 -4.988
-6.604 -12.586 0.323
Al C Sc W
6 6 8 4
direct
0.699 0.582 0.248
0.140 0.860 0.250
0.418 0.301 0.252
0.582 0.699 0.748
0.860 0.140 0.750
0.301 0.418 0.752
0.659 0.183 0.000
0.000 0.500 0.000
0.341 0.817 0.000
0.183 0.659 0.500
0.500 0.000 0.500
0.817 0.341 0.500
0.041 0.188 0.092
0.697 0.876 0.093
0.124 0.303 0.407
0.812 0.959 0.408
0.188 0.041 0.592
0.876 0.697 0.593
0.303 0.124 0.907
0.959 0.812 0.908
0.350 0.525 0.075
0.475 0.650 0.425
0.525 0.350 0.575
0.650 0.475 0.925


PBE Sc4AlZnC2, relaxed; DFT total energy = -6.50 eV/atom; density = 3.52 g/cm³; SG = P-6m2, No. 187
1.0
3.305 0.000 0.000
-1.653 2.862 0.000
0.000 0.000 14.788
Al C Sc Zn
1 2 4 1
direct
0.000 0.000 0.000
0.333 0.667 0.253
0.333 0.667 0.747
0.667 0.333 0.167
0.000 0.000 0.335
0.000 0.000 0.665
0.667 0.333 0.833
0.667 0.333 0.500


PBE Zr4Sc2Al3C3, relaxed; DFT total energy = -7.74 eV/atom; density = 4.48 g/cm³; SG = C2/c, No. 15
1.0
1.515 -2.062 -5.162
-2.716 -4.589 -2.182
-9.449 11.147 -3.963
Al C Sc Zr
6 6 4 8
direct
0.415 0.138 0.250
0.965 0.035 0.250
0.862 0.585 0.250
0.138 0.415 0.750
0.035 0.965 0.750
0.585 0.862 0.750
0.000 0.500 0.000
0.333 0.833 0.000
0.167 0.667 0.500
0.500 0.000 0.500
0.833 0.333 0.500
0.667 0.167 0.000
0.368 0.531 0.092
0.469 0.632 0.408
0.531 0.368 0.592
0.632 0.469 0.908
0.024 0.199 0.083
0.694 0.858 0.083
0.142 0.306 0.417
0.801 0.976 0.417
0.199 0.024 0.583
0.858 0.694 0.583
0.306 0.142 0.917
0.976 0.801 0.917


PBE Zr2Sc4Al3C3, relaxed; DFT total energy = -7.27 eV/atom; density = 3.81 g/cm³; SG = C2/c, No. 15
1.0
5.711 0.000 0.000
2.847 4.950 0.000
2.837 1.641 14.772
Al C Sc Zr
6 6 8 4
direct
0.167 0.418 0.250
0.997 0.003 0.250
0.582 0.833 0.250
0.418 0.167 0.750
0.003 0.997 0.750
0.833 0.582 0.750
0.657 0.186 0.000
0.000 0.500 0.000
0.343 0.814 0.000
0.186 0.657 0.500
0.500 0.000 0.500
0.814 0.343 0.500
0.970 0.808 0.083
0.306 0.138 0.083
0.862 0.694 0.417
0.192 0.030 0.417
0.808 0.970 0.583
0.138 0.306 0.583
0.694 0.862 0.917
0.030 0.192 0.917
0.638 0.470 0.090
0.530 0.362 0.410
0.470 0.638 0.590
0.362 0.530 0.910


PBE Zr4AlC2Se, relaxed; DFT total energy = -8.40 eV/atom; density = 6.02 g/cm³; SG = P-6m2, No. 187
1.0
-2.777 1.552 1.217
0.064 -1.095 -3.224
-4.970 -12.014 3.982
Al C Se Zr
1 2 1 4
direct
0.333 0.667 0.000
0.667 0.333 0.263
0.667 0.333 0.737
0.000 0.000 0.500
0.000 0.000 0.172
0.333 0.667 0.355
0.333 0.667 0.645
0.000 0.000 0.828


PBE Ta4AlSiC2, relaxed; DFT total energy = -9.90 eV/atom; density = 11.76 g/cm³; SG = P-6m2, No. 187
1.0
-2.605 1.749 0.269
0.008 -2.980 1.018
3.969 4.078 11.910
Al C Si Ta
1 2 1 4
direct
0.000 0.000 0.000
0.333 0.667 0.259
0.333 0.667 0.741
0.667 0.333 0.500
0.667 0.333 0.167
0.000 0.000 0.353
0.000 0.000 0.647
0.667 0.333 0.833